1.
Zn3CdSb3: optimized geometry, PBE.

Values from the calculation:
calculated volume: 1080.0 Å³ per cell
Fermi-level density of states: 11.77 states/eV/cell
formation energy (no corrections): 0.64 kcal/mol of atoms

a b c (Å): 7.3754 7.3754 22.9267
angles (deg): 90.00 90.00 120.00
Space group R-3 (No. 148, hexagonal axes)
Unique sites:
Zn1 0.0042 0.3283 0.4660 [18 per cell]
Cd1 0.0000 0.0000 0.3352 [6 per cell]
Sb1 0.0025 0.3420 0.5867 [18 per cell]

=====

2.
MgRhSe2: optimized geometry, PBE.

Values from the calculation:
calculated volume: 157.4 Å³ per cell
Fermi-level density of states: 6.07 states/eV/cell
formation energy (no corrections): -6.89 kcal/mol of atoms

a b c (Å): 3.7535 5.5645 7.5359
angles (deg): 90.00 90.00 90.00
Space group Immm (No. 71)
Unique sites:
Mg1 0.0000 0.0000 0.0000 [2 per cell]
Rh1 0.0000 0.0000 0.5000 [2 per cell]
Se1 0.0000 0.5000 0.2129 [4 per cell]

=====

3.
Na3ZnCu: optimized geometry, PBE.

Values from the calculation:
calculated formation energy: 8.79 kcal/mol of atoms
calculated volume: 158.9 Å³ per cell
Fermi-level density of states: 2.56 states/eV/cell

a b c (Å): 5.4162 5.4162 5.4162
angles (deg): 90.00 90.00 90.00
Space group Pm-3m (No. 221)
Unique sites:
Na1 0.0000 0.0000 0.5000 [3 per cell]
Zn1 0.5000 0.5000 0.5000 [1 per cell]
Cu1 0.0000 0.0000 0.0000 [1 per cell]

=====

4.
LaTmScTl: optimized geometry, PBE.

Values from the calculation:
calculated formation energy: -1.58 kcal/mol of atoms
calculated volume: 458.3 Å³ per cell
Fermi-level density of states: 19.95 states/eV/cell

a b c (Å): 7.7102 7.7102 7.7102
angles (deg): 90.00 90.00 90.00
Space group F-43m (No. 216)
Unique sites:
La1 0.0000 0.0000 0.0000 [4 per cell]
Tm1 0.0000 0.0000 0.5000 [4 per cell]
Sc1 0.2500 0.2500 0.2500 [4 per cell]
Tl1 0.2500 0.2500 0.7500 [4 per cell]

=====

5.
LaCe2H: optimized geometry, PBE.

Values from the calculation:
total DFT energy (no corrections): -60.51 eV/cell
calculated volume: 272.2 Å³ per cell
Fermi-level density of states: 24.94 states/eV/cell

a b c (Å): 3.3140 3.3140 28.6153
angles (deg): 90.00 90.00 120.00
Space group R-3m (No. 166, hexagonal axes)
Unique sites:
La1 0.0000 0.0000 0.0000 [3 per cell]
Ce1 0.0000 0.0000 0.1126 [6 per cell]
H1 0.0000 0.0000 0.5000 [3 per cell]

=====

6.
Rb2TlRuCl6: optimized geometry, PBE.

Values from the calculation:
calculated volume: 1249.9 Å³ per cell
Fermi-level density of states: 61.73 states/eV/cell
formation energy (no corrections): -27.17 kcal/mol of atoms

a b c (Å): 10.7718 10.7718 10.7718
angles (deg): 90.00 90.00 90.00
Space group Fm-3m (No. 225)
Unique sites:
Rb1 0.2500 0.2500 0.2500 [8 per cell]
Tl1 0.0000 0.0000 0.0000 [4 per cell]
Ru1 0.0000 0.0000 0.5000 [4 per cell]
Cl1 0.0000 0.0000 0.2787 [24 per cell]

=====

7.
GaAg3: optimized geometry, PBE.

Values from the calculation:
calculated formation energy: 0.00 kcal/mol of atoms
calculated volume: 70.5 Å³ per cell
Fermi-level density of states: 0.89 states/eV/cell

a b c (Å): 2.9801 2.9801 9.1658
angles (deg): 90.00 90.00 120.00
Space group P-6m2 (No. 187)
Unique sites:
Ga1 0.0000 0.0000 0.0000 [1 per cell]
Ag1 0.0000 0.0000 0.5000 [1 per cell]
Ag2 0.6667 0.3333 0.2409 [2 per cell]

=====

8.
Np2Ge5Ir3: optimized geometry, PBE.

Values from the calculation:
calculated formation energy: -9.45 kcal/mol of atoms
calculated volume: 719.6 Å³ per cell
Fermi-level density of states: 75.33 states/eV/cell

a b c (Å): 4.2770 24.8139 6.7805
angles (deg): 90.00 90.00 90.00
Space group Cmc2_1 (No. 36)
Unique sites:
Np1 0.0000 0.0207 0.0000 [4 per cell]
Np2 0.0000 0.3282 0.9771 [4 per cell]
Ge1 0.0000 0.1008 0.6400 [4 per cell]
Ge2 0.0000 0.2080 0.1852 [4 per cell]
Ge3 0.0000 0.2088 0.7600 [4 per cell]
Ge4 0.0000 0.3800 0.5158 [4 per cell]
Ge5 0.0000 0.4512 0.8372 [4 per cell]
Ir1 0.0000 0.1059 0.2598 [4 per cell]
Ir2 0.0000 0.2784 0.4717 [4 per cell]
Ir3 0.0000 0.4465 0.2226 [4 per cell]